This record from Alexandria describes a relaxed KCrS2O8 crystal. The functional is GGA+U.

Values from the calculation:
Uncorrected energy, eV for the cell shown: -153.03

Cell lengths 8.022, 5.193, 8.262 Å; angles 90.00, 94.36, 90.00 degrees
Space group P2_1/c (No. 14)
Asymmetric unit:
K1 0.000 0.000 0.000 [2 per cell]
Cr1 0.500 0.000 0.000 [2 per cell]
S1 0.302 0.001 0.633 [4 per cell]
O1 0.135 0.503 0.191 [4 per cell]
O2 0.319 0.238 0.529 [4 per cell]
O3 0.322 0.731 0.026 [4 per cell]
O4 0.441 0.001 0.762 [4 per cell]